Entry from the Alexandria database: a relaxed structure of Zn2SiHg (PBE).

Lattice parameters (Å, degrees): 5.0073 5.0073 5.0073 130.44 130.44 72.70
With the nearest neighbours (Å) after each atom.
Sites, in units of the cell vectors:
Zn (0.2500, 0.7500, 0.5000)  4 Hg 2.91, 4 Si 2.91, 4 Zn 2.97
Zn (0.7500, 0.2500, 0.5000)  4 Hg 2.91, 4 Si 2.91, 4 Zn 2.97
Si (0.0000, 0.0000, 0.0000)  8 Zn 2.91, 4 Hg 2.97
Hg (0.5000, 0.5000, 0.0000)  8 Zn 2.91, 4 Si 2.97

Computed properties:
energy relative to the elements, uncorrected = 0.325 eV per atom
total magnetic moment = 0.0 μB per formula unit
E above lowest polymorph = 0.100 eV per atom
D(E_F) = 0.368 states/eV/atom